The following is a PBE calculation of a relaxed Al3FeIr4 crystal, from Alexandria via LeMat-Bulk.

extended XYZ file:
```
16
Lattice="-0.931 -3.009 -2.890 2.533 -4.173 3.529 -7.528 -1.340 3.819" Properties=species:S:1:pos:R:3 pbc="T T T"
Ir 1.438 -4.640 1.206
Ir -2.326 -5.310 3.116
Ir 0.164 -2.542 -0.568
Ir -3.600 -3.212 1.341
Ir -3.743 -4.141 5.515
Ir -0.910 -6.479 0.716
Ir -2.183 -4.381 -1.058
Ir -5.017 -2.043 3.741
Al 0.000 0.000 0.000
Al -3.764 -0.670 1.909
Al -6.112 -2.510 1.419
Al -2.347 -1.839 -0.490
Al -4.845 -4.596 3.183
Al -1.081 -3.926 1.274
Fe 1.266 -2.087 1.764
Fe -2.498 -2.757 3.674
```

Output
**Space group**: P4/mmm (123)
**DFT formation energy**: -708.8 meV/atom
**VASP energy**: -7.601 eV per atom